No. 1
Here is La3YBi2 after structural relaxation from Alexandria. Energies are from GGA-PBE.

```
data_La3YBi2
_space_group_name_H-M_alt 'P -4 m 2'
_space_group_IT_number 115
_space_group_name_Hall 'P -4 -2'
_cell_length_a 4.727
_cell_length_b 4.727
_cell_length_c 9.125
_cell_angle_alpha 90.00
_cell_angle_beta 90.00
_cell_angle_gamma 90.00
loop_
_atom_site_label
_atom_site_fract_x
_atom_site_fract_y
_atom_site_fract_z
La1 0.000 0.000 0.000
La2 0.000 0.500 0.648
Y1 0.500 0.500 0.000
Bi1 0.000 0.500 0.276
```

ΔE_f	-691	meV per atom


No. 2
Here is La3NiBr3 after structural relaxation from Alexandria. Energies are from GGA-PBE.

```
data_La3NiBr3
_space_group_name_H-M_alt 'P 1 21/m 1'
_space_group_IT_number 11
_space_group_name_Hall '-P 2yb'
_cell_length_a 9.108
_cell_length_b 4.002
_cell_length_c 12.535
_cell_angle_alpha 90.00
_cell_angle_beta 92.44
_cell_angle_gamma 90.00
loop_
_atom_site_label
_atom_site_fract_x
_atom_site_fract_y
_atom_site_fract_z
La1 0.082 0.250 0.379
La2 0.143 0.250 0.865
La3 0.334 0.750 0.627
Ni1 0.129 0.250 0.633
Br1 0.120 0.250 0.120
Br2 0.375 0.750 0.376
Br3 0.398 0.750 0.872
```

uncorrected formation energy	-29.48	kcal/mol of atoms


No. 3
Here is La3Pm2Er4 after structural relaxation from Alexandria. Energies are from GGA-PBE.

```
data_La3Pm2Er4
_space_group_name_H-M_alt 'P -1'
_space_group_IT_number 2
_space_group_name_Hall '-P 1'
_cell_length_a 6.252
_cell_length_b 6.257
_cell_length_c 9.592
_cell_angle_alpha 71.20
_cell_angle_beta 71.29
_cell_angle_gamma 60.06
loop_
_atom_site_label
_atom_site_fract_x
_atom_site_fract_y
_atom_site_fract_z
La1 0.000 0.000 0.000
La2 0.112 0.443 0.669
Pm1 0.446 0.777 0.668
Er1 0.223 0.891 0.332
Er2 0.336 0.330 0.000
```

ΔE_f	28	meV per atom


No. 4
Here is Y3GaS after structural relaxation from Alexandria. Energies are from GGA-PBE.

```
data_Y3GaS
_space_group_name_H-M_alt 'P 1 21/m 1'
_space_group_IT_number 11
_space_group_name_Hall '-P 2yb'
_cell_length_a 7.881
_cell_length_b 3.952
_cell_length_c 8.420
_cell_angle_alpha 90.00
_cell_angle_beta 99.45
_cell_angle_gamma 90.00
loop_
_atom_site_label
_atom_site_fract_x
_atom_site_fract_y
_atom_site_fract_z
Y1 0.075 0.250 0.318
Y2 0.304 0.250 0.969
Y3 0.393 0.750 0.630
Ga1 0.340 0.750 0.243
S1 0.155 0.250 0.648
```

uncorrected formation energy	-24.11	kcal/mol of atoms


No. 5
Here is ScMn2Se after structural relaxation from Alexandria. Energies are from GGA-PBE.

```
data_ScMn2Se
_space_group_name_H-M_alt 'P 1 2/m 1'
_space_group_IT_number 10
_space_group_name_Hall '-P 2y'
_cell_length_a 3.384
_cell_length_b 4.196
_cell_length_c 5.248
_cell_angle_alpha 90.00
_cell_angle_beta 106.39
_cell_angle_gamma 90.00
loop_
_atom_site_label
_atom_site_fract_x
_atom_site_fract_y
_atom_site_fract_z
Sc1 0.000 0.000 0.000
Mn1 0.378 0.500 0.739
Se1 0.500 0.000 0.500
```

uncorrected formation energy	-2.87	kcal/mol of atoms


No. 6
Here is BaY2Zn2 after structural relaxation from Alexandria. Energies are from GGA-PBE.

```
data_BaY2Zn2
_space_group_name_H-M_alt 'I 4/m m m'
_space_group_IT_number 139
_space_group_name_Hall '-I 4 2'
_cell_length_a 5.072
_cell_length_b 5.072
_cell_length_c 11.794
_cell_angle_alpha 90.00
_cell_angle_beta 90.00
_cell_angle_gamma 90.00
loop_
_atom_site_label
_atom_site_fract_x
_atom_site_fract_y
_atom_site_fract_z
Ba1 0.000 0.000 0.000
Y1 0.000 0.500 0.250
Zn1 0.000 0.000 0.393
```

ΔE_f	-63	meV per atom


No. 7
Here is Sr2ScTcAu after structural relaxation from Alexandria. Energies are from GGA-PBE.

```
data_Sr2ScTcAu
_space_group_name_H-M_alt 'P 4/m m m'
_space_group_IT_number 123
_space_group_name_Hall '-P 4 2'
_cell_length_a 5.650
_cell_length_b 5.650
_cell_length_c 5.063
_cell_angle_alpha 90.00
_cell_angle_beta 90.00
_cell_angle_gamma 90.00
loop_
_atom_site_label
_atom_site_fract_x
_atom_site_fract_y
_atom_site_fract_z
Sr1 0.000 0.500 0.000
Sc1 0.000 0.000 0.500
Tc1 0.500 0.500 0.000
Au1 0.500 0.500 0.500
```

ΔE_f	804	meV per atom


No. 8
Here is YRuPt after structural relaxation from Alexandria. Energies are from GGA-PBE.

```
data_YRuPt
_space_group_name_H-M_alt 'P 3 m 1'
_space_group_IT_number 156
_space_group_name_Hall 'P 3 -2"'
_cell_length_a 3.1644
_cell_length_b 3.1644
_cell_length_c 6.5844
_cell_angle_alpha 90.00
_cell_angle_beta 90.00
_cell_angle_gamma 120.00
loop_
_atom_site_label
_atom_site_fract_x
_atom_site_fract_y
_atom_site_fract_z
Y1 0.0000 0.0000 0.0000
Ru1 0.3333 0.6667 0.6726
Pt1 0.6667 0.3333 0.3480
```

ΔE_f	170	meV per atom


No. 9
Here is TlRuW after structural relaxation from Alexandria. Energies are from GGA-PBE.

```
data_TlRuW
_space_group_name_H-M_alt 'P 3 m 1'
_space_group_IT_number 156
_space_group_name_Hall 'P 3 -2"'
_cell_length_a 2.9485
_cell_length_b 2.9485
_cell_length_c 7.0654
_cell_angle_alpha 90.00
_cell_angle_beta 90.00
_cell_angle_gamma 120.00
loop_
_atom_site_label
_atom_site_fract_x
_atom_site_fract_y
_atom_site_fract_z
Tl1 0.0000 0.0000 0.0000
Ru1 0.3333 0.6667 0.6506
W1 0.6667 0.3333 0.3675
```

ΔE_f	556	meV per atom


No. 10
Here is BiTe2Cl after structural relaxation from Alexandria. Energies are from GGA-PBE.

```
data_BiTe2Cl
_space_group_name_H-M_alt 'I -4 2 d'
_space_group_IT_number 122
_space_group_name_Hall 'I -4 2bw'
_cell_length_a 9.834
_cell_length_b 9.834
_cell_length_c 5.644
_cell_angle_alpha 90.00
_cell_angle_beta 90.00
_cell_angle_gamma 90.00
loop_
_atom_site_label
_atom_site_fract_x
_atom_site_fract_y
_atom_site_fract_z
Bi1 0.000 0.000 0.000
Te1 0.200 0.250 0.125
Cl1 0.000 0.000 0.500
```

uncorrected formation energy	-6.68	kcal/mol of atoms


No. 11
Here is ErS4 after structural relaxation from Alexandria. Energies are from GGA-PBE.

```
data_ErS4
_space_group_name_H-M_alt 'P -1'
_space_group_IT_number 2
_space_group_name_Hall '-P 1'
_cell_length_a 4.140
_cell_length_b 4.363
_cell_length_c 6.739
_cell_angle_alpha 86.38
_cell_angle_beta 72.82
_cell_angle_gamma 74.25
loop_
_atom_site_label
_atom_site_fract_x
_atom_site_fract_y
_atom_site_fract_z
Er1 0.000 0.000 0.000
S1 0.179 0.873 0.567
S2 0.323 0.400 0.132
```

uncorrected formation energy	-18.01	kcal/mol of atoms


No. 12
Here is K4Tb3ScS8 after structural relaxation from Alexandria. Energies are from GGA-PBE.

```
data_K4Tb3ScS8
_space_group_name_H-M_alt 'R -3 m'
_space_group_IT_number 166
_space_group_name_Hall '-R 3 2"'
_cell_length_a 8.0331
_cell_length_b 8.0331
_cell_length_c 22.0674
_cell_angle_alpha 90.00
_cell_angle_beta 90.00
_cell_angle_gamma 120.00
loop_
_atom_site_label
_atom_site_fract_x
_atom_site_fract_y
_atom_site_fract_z
K1 0.0000 0.0000 0.0000
K2 0.0000 0.5000 0.0000
Tb1 0.0000 0.5000 0.5000
Sc1 0.0000 0.0000 0.5000
S1 0.0000 0.0000 0.2347
S2 0.0117 0.5058 0.2328
```

uncorrected formation energy	-42.58	kcal/mol of atoms


> Number 5 is which compound?

ScMn2Se